Crystalline Rb3Tl4Se4 at its relaxed geometry, computed with PBE.

## Properties
Spin magnetization in μB/f.u.: 0.00
ρ in kg/m3: 6051
Final energy in hartree per atom: -0.1127
Space group: Immm

Cell lengths 4.660, 10.039, 9.854 Å; angles 120.63, 103.68, 90.00 degrees
Positions (direct):
Rb1 0.000 0.500 0.000
Tl1 0.328 0.134 0.656
Se1 0.500 0.230 0.000
Se2 0.784 0.284 0.567
Rb2 0.109 0.109 0.218
Tl2 0.328 0.522 0.656
Se3 0.500 0.770 0.000
Rb3 0.891 0.891 0.782
Se4 0.216 0.716 0.433
Tl3 0.672 0.478 0.344
Tl4 0.672 0.866 0.344